Li5Nd4Tl6 | PBE-GGA | optimized geometry

Values from the calculation:
Formation energy from the elements in eV/atom: -0.2632
Fermi-level density of states in states/eV/atom: 0.627

a b c (Å): 4.900 20.365 15.192
angles (deg): 90.00 90.00 90.00
Space group Cmc2_1 (No. 36)
Asymmetric unit:
Li 0.000 0.011 0.000 x4
Li 0.000 0.127 0.500 x4
Li 0.000 0.165 0.802 x4
Li 0.000 0.166 0.199 x4
Li 0.000 0.274 0.501 x4
Nd 0.000 0.329 0.863 x4
Nd 0.000 0.330 0.138 x4
Nd 0.000 0.436 0.353 x4
Nd 0.000 0.436 0.647 x4
Tl 0.000 0.058 0.684 x4
Tl 0.000 0.059 0.316 x4
Tl 0.000 0.147 0.000 x4
Tl 0.000 0.272 0.331 x4
Tl 0.000 0.272 0.670 x4
Tl 0.000 0.449 0.000 x4

---

Li2Nd2Tl3 | PBE-GGA | optimized geometry

Values from the calculation:
Formation energy from the elements in eV/atom: -0.2715
Fermi-level density of states in states/eV/atom: 0.698

a b c (Å): 3.884 26.191 3.502
angles (deg): 90.00 90.00 90.00
Space group Cmmm (No. 65)
Asymmetric unit:
Li 0.000 0.216 0.000 x4
Nd 0.000 0.082 0.000 x4
Tl 0.000 0.332 0.500 x4
Tl 0.000 0.500 0.500 x2

---

LiNd2Tl | PBE-GGA | optimized geometry

Values from the calculation:
Formation energy from the elements in eV/atom: -0.1502
Fermi-level density of states in states/eV/atom: 1.197

a b c (Å): 3.840 3.840 7.822
angles (deg): 90.00 90.00 90.00
Space group P4/mmm (No. 123)
Asymmetric unit:
Li 0.000 0.000 0.000 x1
Nd 0.500 0.500 0.245 x2
Tl 0.000 0.000 0.500 x1

---

LiNd8Tl5 | PBE-GGA | optimized geometry

Values from the calculation:
Formation energy from the elements in eV/atom: -0.1929
Fermi-level density of states in states/eV/atom: 1.162

a b c (Å): 9.634 9.634 9.624
angles (deg): 90.00 90.00 90.00
Space group I-4 (No. 82)
Asymmetric unit:
Li 0.000 0.000 0.000 x2
Nd 0.069 0.670 0.955 x8
Nd 0.081 0.818 0.312 x8
Tl 0.000 0.500 0.250 x2
Tl 0.127 0.753 0.636 x8

---

LiNd2Tl | PBE-GGA | optimized geometry

Values from the calculation:
Formation energy from the elements in eV/atom: -0.2013
Fermi-level density of states in states/eV/atom: 0.871

a b c (Å): 7.106 8.894 7.136
angles (deg): 90.00 90.00 90.00
Space group Imma (No. 74)
Asymmetric unit:
Li 0.000 0.250 0.016 x4
Nd 0.250 0.007 0.750 x8
Tl 0.000 0.250 0.488 x4

---

LiNd3Tl4 | PBE-GGA | optimized geometry

Values from the calculation:
Formation energy from the elements in eV/atom: -0.3484
Fermi-level density of states in states/eV/atom: 0.777

a b c (Å): 3.665 3.665 16.336
angles (deg): 90.00 90.00 90.00
Space group P4/mmm (No. 123)
Asymmetric unit:
Li 0.000 0.000 0.000 x1
Nd 0.000 0.000 0.231 x2
Nd 0.000 0.000 0.500 x1
Tl 0.500 0.500 0.098 x2
Tl 0.500 0.500 0.365 x2

---

Li3NdTl4 | PBE-GGA | optimized geometry

Values from the calculation:
Formation energy from the elements in eV/atom: -0.2715
Fermi-level density of states in states/eV/atom: 0.336

a b c (Å): 5.0176 5.0176 25.9967
angles (deg): 90.00 90.00 120.00
Space group R-3m (No. 166, hexagonal axes)
Asymmetric unit:
Li 0.0000 0.0000 0.0000 x3
Li 0.0000 0.0000 0.2526 x6
Nd 0.0000 0.0000 0.5000 x3
Tl 0.0000 0.0000 0.1135 x6
Tl 0.0000 0.0000 0.3704 x6

---

LiNd2Tl6 | PBE-GGA | optimized geometry

Values from the calculation:
ΔE to the lowest computed polymorph in meV per atom: 13
Formation energy from the elements in eV/atom: -0.1342
Fermi-level density of states in states/eV/atom: 0.594

a b c (Å): 3.827 18.749 7.408
angles (deg): 90.00 90.00 90.00
Space group Amm2 (No. 38)
Asymmetric unit:
Li 0.000 0.000 0.000 x2
Nd 0.500 0.144 0.606 x4
Tl 0.000 0.000 0.639 x2
Tl 0.000 0.238 0.330 x4
Tl 0.500 0.000 0.302 x2
Tl 0.500 0.137 0.054 x4

---

> Which formula does entry 2 have?

Li2Nd2Tl3